No. 1
RuSIN2: optimized geometry, PBE-GGA.

Cell: 3.8240 3.8240 5.9336 Å, 90.00 90.00 90.00°
Fractional positions:
S 0.5000 0.5000 0.5000
Ru 0.0000 0.0000 0.0000
N 0.0000 0.5000 0.0000
I 0.0000 0.0000 0.5000
N 0.5000 0.0000 0.0000

Output
Formation energy from raw total energies ... 100.05 kJ/mol of atoms
Magnetization ... 0.0 μB/cell
Distance to the lowest polymorph of the same formula ... 58 meV per atom

***

No. 2
Nd4Hg5Ru2: optimized geometry, PBE-GGA.

Cell: 3.8342 7.7480 9.6374 Å, 94.88 90.00 90.00°
Fractional positions:
Hg 0.0000 0.8320 0.8556
Hg 0.0000 0.1680 0.1444
Hg 0.0000 0.4490 0.6675
Nd 0.5000 0.2197 0.4372
Nd 0.5000 0.8189 0.1568
Nd 0.5000 0.1811 0.8432
Ru 0.0000 0.0710 0.6395
Hg 0.0000 0.5510 0.3325
Nd 0.5000 0.7803 0.5628
Ru 0.0000 0.9290 0.3605
Hg 0.0000 0.5000 0.0000

Output
Energy of formation ... -3.763 eV/f.u.
Magnetization ... 0.0 μB/cell

***

No. 3
CoSi2Au: optimized geometry, PBE-GGA.

Cell: 7.7132 7.7132 7.7132 Å, 22.28 22.28 22.28°
Each line ends with the local moment (μB).
Fractional positions:
Si 0.0044 0.0044 0.0044  0.00
Co 0.7390 0.7390 0.7390  1.05
Si 0.2551 0.2551 0.2551  0.03
Au 0.5015 0.5015 0.5015  0.02

Output
Formation energy from raw total energies ... 14.37 kJ/mol of atoms
Magnetization ... 1.1 μB/cell
Distance to the lowest polymorph of the same formula ... 272 meV per atom

***

No. 4
BCF2: optimized geometry, PBE-GGA.

Cell: 9.7633 9.7633 9.7633 Å, 14.48 14.48 14.48°
Each line ends with the local moment (μB).
Fractional positions:
F 0.9537 0.9537 0.9537  0.15
C 0.5000 0.5000 0.5000  0.11
B 0.0000 0.0000 0.0000  0.24
F 0.0463 0.0463 0.0463  0.15

Output
Formation energy from raw total energies ... 50.04 kJ/mol of atoms
Magnetization ... 1.1 μB/cell
Distance to the lowest polymorph of the same formula ... 0 meV per atom

***

No. 5
CrNiHIr: optimized geometry, PBE-GGA.

Cell: 2.6961 4.3015 4.3681 Å, 119.40 108.01 89.92°
Each line ends with the local moment (μB).
Fractional positions:
Cr 0.7971 0.4501 0.5754  1.52
Ir 0.9896 0.1419 0.9601  -0.23
H 0.2915 0.9197 0.5624  0.00
Ni 0.6029 0.7553 0.1869  -0.03

Output
Magnetization ... 1.4 μB/cell
Distance to the lowest polymorph of the same formula ... 202 meV per atom

***

No. 6
CaMg2Ir: optimized geometry, PBE-GGA.

Cell: 5.6323 7.9752 15.8270 Å, 90.00 90.00 90.00°
Fractional positions:
Ca 0.9565 0.7500 0.3633
Ca 0.5435 0.7500 0.8633
Ir 0.2525 0.2500 0.3118
Mg 0.2185 0.4381 0.9561
Mg 0.0325 0.9415 0.7891
Ca 0.0435 0.2500 0.6367
Mg 0.5325 0.0585 0.7109
Ir 0.0424 0.7500 0.9332
Ca 0.7651 0.2500 0.3931
Mg 0.2815 0.0619 0.4561
Ca 0.7349 0.2500 0.8931
Ir 0.9576 0.2500 0.0668
Ir 0.2475 0.2500 0.8118
Mg 0.4675 0.9415 0.2891
Ca 0.4565 0.2500 0.1367
Mg 0.2815 0.4381 0.4561
Mg 0.4675 0.5585 0.2891
Mg 0.7185 0.5619 0.5439
Ir 0.5424 0.2500 0.5668
Ca 0.2349 0.7500 0.6069
Mg 0.7185 0.9381 0.5439
Mg 0.0325 0.5585 0.7891
Ir 0.4576 0.7500 0.4332
Mg 0.5325 0.4415 0.7109
Mg 0.9675 0.4415 0.2109
Mg 0.7815 0.9381 0.0439
Mg 0.7815 0.5619 0.0439
Ca 0.2651 0.7500 0.1069
Mg 0.2185 0.0619 0.9561
Ir 0.7525 0.7500 0.1882
Mg 0.9675 0.0585 0.2109
Ir 0.7475 0.7500 0.6882

Output
Energy of formation ... -1.475 eV/f.u.
Magnetization ... 0.0 μB/cell

***

> Which of these has the highest magnetization?

CrNiHIr